[1]
# Ni3Sb

A relaxed structure of Ni3Sb (PBE, OQMD via LeMat-Bulk).

Unit cell a=4.267 b=5.323 c=4.530 alpha=90.00 beta=90.00 gamma=90.00
Fractional coordinates of all 8 atoms:
1 Ni 0.000 0.750 0.828
2 Ni 0.000 0.500 0.316
3 Sb 0.500 0.500 0.678
4 Ni 0.500 0.750 0.172
5 Ni 0.500 0.000 0.684
6 Sb 0.000 0.000 0.322
7 Ni 0.000 0.250 0.828
8 Ni 0.500 0.250 0.172

Magnetization   0.00 μB per formula unit
V   102.9 Å³ per cell
Excess energy over the best structure of this formula in the dataset   0 meV/atom
Crystal system   orthorhombic

[2]
# Cu5Ag2

A relaxed structure of Cu5Ag2 (PBE, OQMD via LeMat-Bulk).

Unit cell a=4.814 b=4.814 c=7.457 alpha=90.49 beta=90.49 gamma=33.22
Fractional coordinates of all 7 atoms:
1 Cu 0.500 0.500 0.000
2 Cu 0.360 0.360 0.540
3 Cu 0.047 0.047 0.713
4 Ag 0.224 0.224 0.165
5 Cu 0.953 0.953 0.287
6 Cu 0.640 0.640 0.460
7 Ag 0.776 0.776 0.835

V   94.7 Å³ per cell
Excess energy over the best structure of this formula in the dataset   26 meV/atom
Energy relative to the elements   0.077 eV per atom
Crystal system   monoclinic

[3]
# AgC8

A relaxed structure of AgC8 (PBE, OQMD via LeMat-Bulk).

Unit cell a=11.299 b=10.744 c=4.943 alpha=83.40 beta=70.84 gamma=25.76
Fractional coordinates of all 18 atoms:
1 C 0.458 0.790 0.709
2 C 0.460 0.792 0.207
3 C 0.292 0.958 0.041
4 C 0.958 0.292 0.209
5 C 0.207 0.541 0.460
6 C 0.958 0.292 0.709
7 Ag 0.000 0.000 0.000
8 C 0.541 0.209 0.292
9 C 0.043 0.709 0.790
10 C 0.541 0.207 0.792
11 C 0.792 0.460 0.541
12 C 0.292 0.958 0.541
13 C 0.790 0.458 0.043
14 C 0.709 0.041 0.958
15 C 0.709 0.043 0.458
16 C 0.209 0.541 0.958
17 Ag 0.250 0.250 0.250
18 C 0.041 0.709 0.292

V   221.2 Å³ per cell
Excess energy over the best structure of this formula in the dataset   10 meV/atom
Crystal system   orthorhombic